No. 1
Here is a relaxed structure of Na5B8C2 from Alexandria via LeMat-Bulk. Energies are from PBE-GGA.

Structure (POSCAR):
```
Na5B8C2
1.0
2.936 0.000 0.000
-1.468 2.543 0.000
0.000 0.000 43.013
Na B C
10 16 4
Direct
0.000 0.000 0.051
0.000 0.000 0.149
0.000 0.000 0.250
0.000 0.000 0.349
0.000 0.000 0.449
0.000 0.000 0.551
0.000 0.000 0.651
0.000 0.000 0.750
0.000 0.000 0.851
0.000 0.000 0.949
0.333 0.667 0.000
0.333 0.667 0.100
0.333 0.667 0.200
0.333 0.667 0.300
0.333 0.667 0.399
0.333 0.667 0.500
0.333 0.667 0.601
0.333 0.667 0.700
0.333 0.667 0.800
0.333 0.667 0.900
0.667 0.333 0.000
0.667 0.333 0.200
0.667 0.333 0.399
0.667 0.333 0.500
0.667 0.333 0.601
0.667 0.333 0.800
0.667 0.333 0.100
0.667 0.333 0.300
0.667 0.333 0.700
0.667 0.333 0.900
```

DFT formation energy = 223 meV per atom
energy above the most stable polymorph in this dataset = 1.22 kcal/mol of atoms
magnetic moment = 0.00 μB per cell

***

No. 2
Here is a relaxed structure of Na5B8C2 from Alexandria via LeMat-Bulk. Energies are from PBE-GGA.

Structure (POSCAR):
```
Na5B8C2
1.0
8.666 0.000 0.000
0.000 1.406 13.231
0.000 -1.406 13.231
Na B C
10 16 4
Direct
0.248 0.000 0.000
0.250 0.201 0.201
0.250 0.800 0.800
0.251 0.399 0.399
0.251 0.601 0.601
0.749 0.399 0.399
0.749 0.601 0.601
0.750 0.201 0.201
0.750 0.800 0.800
0.752 0.000 0.000
0.000 0.078 0.078
0.000 0.259 0.259
0.000 0.326 0.326
0.000 0.473 0.473
0.000 0.536 0.536
0.000 0.667 0.667
0.000 0.866 0.866
0.000 0.930 0.930
0.500 0.067 0.067
0.500 0.131 0.131
0.500 0.329 0.329
0.500 0.525 0.525
0.500 0.673 0.673
0.500 0.738 0.738
0.500 0.869 0.869
0.500 0.935 0.935
0.000 0.137 0.137
0.000 0.729 0.729
0.500 0.269 0.269
0.500 0.466 0.466
```

DFT formation energy = 179 meV per atom
energy above the most stable polymorph in this dataset = 0.21 kcal/mol of atoms
magnetic moment = 0.00 μB per cell

***

No. 3
Here is a relaxed structure of Na5B8C2 from Alexandria via LeMat-Bulk. Energies are from PBE-GGA.

Structure (POSCAR):
```
Na5B8C2
1.0
8.621 0.000 0.000
0.000 1.423 13.133
0.000 -1.423 13.133
Na B C
10 16 4
Direct
0.246 0.000 0.000
0.247 0.600 0.600
0.247 0.799 0.799
0.249 0.400 0.400
0.250 0.199 0.199
0.750 0.199 0.199
0.751 0.400 0.400
0.753 0.600 0.600
0.753 0.799 0.799
0.754 0.000 0.000
0.000 0.073 0.073
0.000 0.260 0.260
0.000 0.331 0.331
0.000 0.464 0.464
0.000 0.533 0.533
0.000 0.666 0.666
0.000 0.870 0.870
0.500 0.125 0.125
0.500 0.268 0.268
0.500 0.331 0.331
0.500 0.471 0.471
0.500 0.537 0.537
0.500 0.665 0.665
0.500 0.727 0.727
0.500 0.870 0.870
0.500 0.935 0.935
0.000 0.135 0.135
0.000 0.730 0.730
0.000 0.933 0.933
0.500 0.066 0.066
```

DFT formation energy = 190 meV per atom
energy above the most stable polymorph in this dataset = 0.45 kcal/mol of atoms
magnetic moment = 0.00 μB per cell

***

No. 4
Here is a relaxed structure of Na2B3C from Alexandria via LeMat-Bulk. Energies are from PBE-GGA.

Structure (POSCAR):
```
Na2B3C
1.0
8.969 -1.423 0.000
8.969 1.423 0.000
-5.208 0.000 12.417
Na B C
10 15 5
Direct
0.000 0.000 0.000
0.000 0.000 0.499
0.200 0.200 0.400
0.201 0.201 0.900
0.399 0.399 0.799
0.401 0.401 0.299
0.598 0.598 0.200
0.603 0.603 0.697
0.800 0.800 0.100
0.800 0.800 0.600
0.026 0.026 0.799
0.031 0.031 0.311
0.165 0.165 0.577
0.172 0.172 0.093
0.234 0.234 0.716
0.239 0.239 0.227
0.367 0.367 0.983
0.368 0.368 0.486
0.436 0.436 0.619
0.567 0.567 0.883
0.570 0.570 0.390
0.631 0.631 0.012
0.774 0.774 0.796
0.830 0.830 0.409
0.961 0.961 0.171
0.430 0.430 0.110
0.633 0.633 0.515
0.769 0.769 0.287
0.836 0.836 0.920
0.967 0.967 0.681
```

DFT formation energy = 158 meV per atom
energy above the most stable polymorph in this dataset = 0.58 kcal/mol of atoms
magnetic moment = 0.00 μB per cell